! MnZn2Rh | Alexandria | SCAN | PBEsol geometry; values from VASP
! Energy = -80.42 eV/f.u.
! Space-group type = Pmm2, No. 25
! E_form = -33 kJ per mole of atoms
&SYSTEM
  ibrav = 0, nat = 4, ntyp = 3
/
ATOMIC_SPECIES
Zn 65.41 Zn.upf
Mn 54.94 Mn.upf
Rh 102.91 Rh.upf
CELL_PARAMETERS angstrom
2.9127 0.0000 0.0000
0.0000 4.1911 0.0000
0.0000 0.0000 4.3026
ATOMIC_POSITIONS crystal
Zn 0.0000 0.0000 0.0608
Zn 0.0000 0.5000 0.6884
Mn 0.5000 0.0000 0.5600
Rh 0.5000 0.5000 0.1908